1.
Density functional theory data (PBE) for AlCdOs after structural relaxation.

Output
The density is 9.440 g/cm³. As for the crystal system: cubic. The total energy is -4.81 eV per atom.

Cell: 4.344 4.344 4.344 Å, 60.00 60.00 60.00°
Atoms (fractional coordinates):
1 Al 0.250 0.250 0.250
2 Cd 0.750 0.750 0.750
3 Os 0.000 0.000 0.000

***

2.
Density functional theory data (PBE) for Li2ScZnIn2Pd2 after structural relaxation.

Output
The density is 6.915 g/cm³. As for the crystal system: tetragonal. The total energy is -3.94 eV per atom.

Cell: 4.569 4.569 6.519 Å, 90.00 90.00 90.00°
Atoms (fractional coordinates):
1 In 0.500 0.500 0.000
2 In 0.000 0.000 0.500
3 Li 0.500 0.000 0.280
4 Li 0.000 0.500 0.720
5 Pd 0.000 0.500 0.251
6 Pd 0.500 0.000 0.749
7 Sc 0.000 0.000 0.000
8 Zn 0.500 0.500 0.500

***

3.
Density functional theory data (PBE) for DyAuSO after structural relaxation.

Output
The density is 9.694 g/cm³. As for the crystal system: monoclinic. The total energy is -6.02 eV per atom.

Cell: 7.276 6.292 6.101 Å, 90.00 91.35 90.00°
Atoms (fractional coordinates):
1 Au 0.008 0.691 0.210
2 Au 0.992 0.191 0.290
3 Au 0.008 0.809 0.710
4 Au 0.992 0.309 0.790
5 Dy 0.398 0.010 0.247
6 Dy 0.602 0.510 0.253
7 Dy 0.398 0.490 0.747
8 Dy 0.602 0.990 0.753
9 O 0.472 0.735 0.001
10 O 0.528 0.235 0.499
11 O 0.472 0.765 0.501
12 O 0.528 0.265 0.999
13 S 0.779 0.946 0.170
14 S 0.221 0.446 0.330
15 S 0.779 0.554 0.670
16 S 0.221 0.054 0.830

***

4.
Density functional theory data (PBE) for Nb3AuSe5 after structural relaxation.

Output
The density is 6.716 g/cm³. As for the crystal system: hexagonal. The total energy is -5.97 eV per atom.

Cell: 5.738 5.738 7.548 Å, 90.00 90.00 120.00°
Atoms (fractional coordinates):
1 Au 0.000 0.000 0.000
2 Nb 0.500 0.000 0.500
3 Nb 0.000 0.500 0.500
4 Nb 0.500 0.500 0.500
5 Se 0.667 0.333 0.229
6 Se 0.333 0.667 0.229
7 Se 0.000 0.000 0.500
8 Se 0.667 0.333 0.771
9 Se 0.333 0.667 0.771

***

5.
Density functional theory data (PBE) for Mg2AgPdAu4 after structural relaxation.

Output
The density is 12.418 g/cm³. As for the crystal system: tetragonal. The total energy is -3.42 eV per atom.

Cell: 4.628 4.628 6.561 Å, 90.00 90.00 90.00°
Atoms (fractional coordinates):
1 Ag 0.000 0.000 0.000
2 Au 0.500 0.000 0.254
3 Au 0.000 0.500 0.254
4 Au 0.500 0.000 0.746
5 Au 0.000 0.500 0.746
6 Mg 0.500 0.500 0.000
7 Mg 0.000 0.000 0.500
8 Pd 0.500 0.500 0.500

***

Copy entry 1 word for word.
Density functional theory data (PBE) for AlCdOs after structural relaxation.

Output
The density is 9.440 g/cm³. As for the crystal system: cubic. The total energy is -4.81 eV per atom.

Cell: 4.344 4.344 4.344 Å, 60.00 60.00 60.00°
Atoms (fractional coordinates):
1 Al 0.250 0.250 0.250
2 Cd 0.750 0.750 0.750
3 Os 0.000 0.000 0.000

***

Please write out number 1 again, unchanged.
Density functional theory data (PBE) for AlCdOs after structural relaxation.

Output
The density is 9.440 g/cm³. As for the crystal system: cubic. The total energy is -4.81 eV per atom.

Cell: 4.344 4.344 4.344 Å, 60.00 60.00 60.00°
Atoms (fractional coordinates):
1 Al 0.250 0.250 0.250
2 Cd 0.750 0.750 0.750
3 Os 0.000 0.000 0.000